ScPaNiRh GGA-PBE relaxed; density = 9.82 g/cm³; energy of formation = -0.50 eV/atom
1.0
4.712 0.000 0.000
2.356 4.081 0.000
2.356 1.360 3.848
Sc Ni Rh Pa
1 1 1 1
direct
0.250 0.250 0.250
0.500 0.500 0.500
0.000 0.000 0.000
0.750 0.750 0.750